No. 1
DFT (PBE-GGA) results for LiInAg after structural relaxation.

SG	P2/m, No. 10
E	-2.5542	eV per atom
DOS(E_F)	0.27	states/eV/atom
crystal system	monoclinic

Unit cell a=3.1454 b=4.5659 c=4.7426 alpha=90.00 beta=92.80 gamma=90.00
Fractional coordinates of all 3 atoms:
1 Li 0.0000 0.0000 0.0000
2 In 0.0000 0.5000 0.5000
3 Ag 0.5000 0.5000 0.0000

No. 2
DFT (PBE-GGA) results for NiSeSN after structural relaxation.

SG	Cm, No. 8
E	-5.1263	eV per atom
DOS(E_F)	0.61	states/eV/atom
crystal system	monoclinic
energy relative to the lowest polymorph listed for this composition	0.41	eV per formula unit
formation energy without anion corrections	0.30	eV/atom

Unit cell a=4.4733 b=4.4733 c=5.7980 alpha=105.90 beta=105.90 gamma=38.78
Fractional coordinates of all 4 atoms:
1 Ni 0.0000 0.0000 0.0000
2 Se 0.6619 0.6619 0.6223
3 S 0.4253 0.4253 0.2196
4 N 0.5588 0.5588 0.8427

No. 3
DFT (PBE-GGA) results for La3Tb2PrSm6 after structural relaxation.

SG	C2/m, No. 12
E	-4.7438	eV per atom
DOS(E_F)	1.60	states/eV/atom
crystal system	monoclinic

Unit cell a=6.3332 b=6.3332 c=12.1258 alpha=95.02 beta=95.02 gamma=120.03
Fractional coordinates of all 12 atoms:
1 La 0.0000 0.0000 0.0000
2 La 0.3330 0.6670 0.0000
3 La 0.6670 0.3330 0.0000
4 Tb 0.1668 0.8332 0.5000
5 Tb 0.8332 0.1668 0.5000
6 Pr 0.5000 0.5000 0.5000
7 Sm 0.0836 0.4180 0.2538
8 Sm 0.2477 0.2477 0.7462
9 Sm 0.4180 0.0836 0.2538
10 Sm 0.5820 0.9164 0.7462
11 Sm 0.7523 0.7523 0.2538
12 Sm 0.9164 0.5820 0.7462

No. 4
DFT (PBE-GGA) results for TmInCo4 after structural relaxation.

SG	F-43m, No. 216
E	-6.1105	eV per atom
DOS(E_F)	1.33	states/eV/atom
crystal system	cubic

Unit cell a=4.9609 b=4.9609 c=4.9609 alpha=60.00 beta=60.00 gamma=60.00
Fractional coordinates of all 6 atoms:
1 Tm 0.0000 0.0000 0.0000
2 In 0.2500 0.2500 0.2500
3 Co 0.1261 0.6246 0.6246
4 Co 0.6246 0.1261 0.6246
5 Co 0.6246 0.6246 0.1261
6 Co 0.6246 0.6246 0.6246

No. 5
DFT (PBE-GGA) results for HfZn4Rh5 after structural relaxation.

SG	P4/mmm, No. 123
E	-5.7295	eV per atom
DOS(E_F)	0.60	states/eV/atom
crystal system	tetragonal

Unit cell a=3.1289 b=3.1289 c=14.8871 alpha=90.00 beta=90.00 gamma=90.00
Fractional coordinates of all 10 atoms:
1 Hf 0.0000 0.0000 0.0000
2 Zn 0.0000 0.0000 0.2112
3 Zn 0.0000 0.0000 0.4030
4 Zn 0.0000 0.0000 0.5970
5 Zn 0.0000 0.0000 0.7888
6 Rh 0.5000 0.5000 0.1068
7 Rh 0.5000 0.5000 0.3035
8 Rh 0.5000 0.5000 0.5000
9 Rh 0.5000 0.5000 0.6965
10 Rh 0.5000 0.5000 0.8932

No. 6
DFT (PBE-GGA) results for KAl after structural relaxation.

SG	P2_12_12_1, No. 19
E	-2.0914	eV per atom
DOS(E_F)	0.57	states/eV/atom
crystal system	orthorhombic
energy relative to the lowest polymorph listed for this composition	0.42	eV per formula unit

Unit cell a=7.1062 b=8.4578 c=8.6802 alpha=90.00 beta=90.00 gamma=90.00
Fractional coordinates of all 16 atoms:
1 K 0.0395 0.1998 0.4924
2 K 0.1500 0.5487 0.6879
3 K 0.3500 0.4513 0.1879
4 K 0.4605 0.8002 0.9924
5 K 0.5395 0.3002 0.5077
6 K 0.6500 0.9513 0.3121
7 K 0.8500 0.0487 0.8121
8 K 0.9605 0.6998 0.0076
9 Al 0.1376 0.0848 0.1326
10 Al 0.1500 0.8278 0.3666
11 Al 0.3500 0.1722 0.8666
12 Al 0.3624 0.9152 0.6326
13 Al 0.6375 0.4152 0.8674
14 Al 0.6500 0.6722 0.6334
15 Al 0.8500 0.3278 0.1334
16 Al 0.8624 0.5848 0.3674

What is the formula in the fourth record?
TmInCo4

The highest E belongs to which entry?
KAl

What is the DOS(E_F) in the third record?
1.60 states/eV/atom